KAgPd4, optimized geometry, DFT PBE-GGA; E_form = 92 meV/atom; theoretical density = 8.39 g cm⁻³
1.0
0.000 3.841 3.841
3.841 0.000 3.841
3.841 3.841 0.000
K Ag Pd
1 1 4
Direct
0.000 0.000 0.000
0.750 0.750 0.750
0.376 0.376 0.376
0.376 0.376 0.873
0.376 0.873 0.376
0.873 0.376 0.376

=====

Ba3Mg8Hg3, optimized geometry, DFT PBE-GGA; E_form = -214 meV/atom; theoretical density = 4.93 g cm⁻³
1.0
9.105 -2.604 0.000
9.105 2.604 0.000
-5.514 0.000 8.587
Ba Mg Hg
3 8 3
Direct
0.000 0.000 0.000
0.286 0.286 0.289
0.714 0.714 0.711
0.128 0.128 0.826
0.138 0.138 0.434
0.336 0.336 0.983
0.497 0.497 0.669
0.503 0.503 0.331
0.664 0.664 0.017
0.862 0.862 0.566
0.872 0.872 0.174
0.000 0.000 0.500
0.342 0.342 0.694
0.658 0.658 0.306

=====

InHgF2, optimized geometry, DFT PBE-GGA; E_form (uncorrected) = -1.12 eV/atom; theoretical density = 8.37 g cm⁻³
1.0
0.000 3.273 3.273
3.273 0.000 3.273
3.273 3.273 0.000
In Hg F
1 1 2
Direct
0.000 0.000 0.000
0.500 0.500 0.500
0.250 0.250 0.250
0.750 0.750 0.750

=====

ThCoCuNi3, optimized geometry, DFT PBE-GGA; E_form = -51 meV/atom; theoretical density = 10.13 g cm⁻³
1.0
2.611 -6.539 0.000
2.611 6.539 0.000
0.000 0.000 5.096
Th Co Cu Ni
2 2 2 6
Direct
0.184 0.816 0.750
0.816 0.184 0.250
0.139 0.861 0.250
0.861 0.139 0.750
0.389 0.611 0.750
0.611 0.389 0.250
0.232 0.232 0.000
0.232 0.232 0.500
0.357 0.643 0.250
0.643 0.357 0.750
0.768 0.768 0.000
0.768 0.768 0.500

=====

| no. | magnetization (μB per formula unit) |
| --- | --- |
| 1 | 0.00 |
| 2 | 0.00 |
| 3 | 0.00 |
| 4 | 1.22 |